No. 1
# Cu2As2Rh | Alexandria | PBE | relaxed
# Size of the total moment: 0.0 μB/cell
# Volume: 162.36 Å³ per cell
# Excess energy over the best structure of this formula in the dataset: 284 meV per atom
# Fermi-level density of states: 4.27 states/eV/cell
data_Cu2As2Rh
_chemical_formula_sum 'Cu4 As4 Rh2'
_symmetry_space_group_name_H-M 'I 4/m m m'
_symmetry_Int_Tables_number 139
_symmetry_space_group_name_Hall '-I 4 2'
_cell_length_a 4.6694
_cell_length_b 4.6694
_cell_length_c 7.4466
_cell_angle_alpha 90.00
_cell_angle_beta 90.00
_cell_angle_gamma 90.00
loop_
_atom_site_label
_atom_site_type_symbol
_atom_site_fract_x
_atom_site_fract_y
_atom_site_fract_z
Cu1 Cu 0.0000 0.0000 0.1522
As1 As 0.0000 0.5000 0.2500
Rh1 Rh 0.0000 0.0000 0.5000



No. 2
# CuAsRh4 | Alexandria | PBE | relaxed
# Size of the total moment: 0.0 μB/cell
# Final energy: -142.6 eV for the cell shown
# Volume: 381.72 Å³ per cell
# Fermi-level density of states: 45.46 states/eV/cell
data_CuAsRh4
_chemical_formula_sum 'Cu4 As4 Rh16'
_symmetry_space_group_name_H-M 'F -4 3 m'
_symmetry_Int_Tables_number 216
_symmetry_space_group_name_Hall 'F -4 2 3'
_cell_length_a 7.2541
_cell_length_b 7.2541
_cell_length_c 7.2541
_cell_angle_alpha 90.00
_cell_angle_beta 90.00
_cell_angle_gamma 90.00
loop_
_atom_site_label
_atom_site_type_symbol
_atom_site_fract_x
_atom_site_fract_y
_atom_site_fract_z
Cu1 Cu 0.0000 0.0000 0.0000
As1 As 0.2500 0.2500 0.2500
Rh1 Rh 0.1251 0.1251 0.6251



No. 3
# CuAs2Rh | Alexandria | PBE | relaxed
# Size of the total moment: 0.0 μB/cell
# Volume: 189.84 Å³ per cell
# Excess energy over the best structure of this formula in the dataset: 73 meV per atom
# Fermi-level density of states: 5.71 states/eV/cell
data_CuAs2Rh
_chemical_formula_sum 'Cu3 As6 Rh3'
_symmetry_space_group_name_H-M 'R -3 m'
_symmetry_Int_Tables_number 166
_symmetry_space_group_name_Hall '-R 3 2"'
_cell_length_a 3.1329
_cell_length_b 3.1329
_cell_length_c 22.3342
_cell_angle_alpha 90.00
_cell_angle_beta 90.00
_cell_angle_gamma 120.00
loop_
_atom_site_label
_atom_site_type_symbol
_atom_site_fract_x
_atom_site_fract_y
_atom_site_fract_z
Cu1 Cu 0.0000 0.0000 0.0000
As1 As 0.0000 0.0000 0.2495
Rh1 Rh 0.0000 0.0000 0.5000



No. 4
# CuAs2Rh | Alexandria | PBE | relaxed
# Size of the total moment: 0.0 μB/cell
# Volume: 244.68 Å³ per cell
# Excess energy over the best structure of this formula in the dataset: 99 meV per atom
# Fermi-level density of states: 5.85 states/eV/cell
data_CuAs2Rh
_chemical_formula_sum 'Cu4 As8 Rh4'
_symmetry_space_group_name_H-M 'F m -3 m'
_symmetry_Int_Tables_number 225
_symmetry_space_group_name_Hall '-F 4 2 3'
_cell_length_a 6.2546
_cell_length_b 6.2546
_cell_length_c 6.2546
_cell_angle_alpha 90.00
_cell_angle_beta 90.00
_cell_angle_gamma 90.00
loop_
_atom_site_label
_atom_site_type_symbol
_atom_site_fract_x
_atom_site_fract_y
_atom_site_fract_z
Cu1 Cu 0.0000 0.0000 0.0000
As1 As 0.2500 0.2500 0.2500
Rh1 Rh 0.0000 0.0000 0.5000



No. 5
# CuAs2Rh | Alexandria | PBE | relaxed
# Size of the total moment: 0.0 μB/cell
# Volume: 68.48 Å³ per cell
# Excess energy over the best structure of this formula in the dataset: 54 meV per atom
# Fermi-level density of states: 1.75 states/eV/cell
data_CuAs2Rh
_chemical_formula_sum 'Cu1 As2 Rh1'
_symmetry_space_group_name_H-M 'P m m 2'
_symmetry_Int_Tables_number 25
_symmetry_space_group_name_Hall 'P 2 -2'
_cell_length_a 2.9669
_cell_length_b 3.6339
_cell_length_c 6.3516
_cell_angle_alpha 90.00
_cell_angle_beta 90.00
_cell_angle_gamma 90.00
loop_
_atom_site_label
_atom_site_type_symbol
_atom_site_fract_x
_atom_site_fract_y
_atom_site_fract_z
Cu1 Cu 0.0000 0.0000 0.0000
As1 As 0.0000 0.0000 0.4054
As2 As 0.5000 0.5000 0.8419
Rh1 Rh 0.5000 0.5000 0.2391



No. 6
# CuAs3Rh | Alexandria | PBE | relaxed
# Size of the total moment: 0.0 μB/cell
# Volume: 110.43 Å³ per cell
# Excess energy over the best structure of this formula in the dataset: 0 meV per atom
# Fermi-level density of states: 5.47 states/eV/cell
data_CuAs3Rh
_chemical_formula_sum 'Cu1 As3 Rh1'
_symmetry_space_group_name_H-M 'P m -3 m'
_symmetry_Int_Tables_number 221
_symmetry_space_group_name_Hall '-P 4 2 3'
_cell_length_a 4.7976
_cell_length_b 4.7976
_cell_length_c 4.7976
_cell_angle_alpha 90.00
_cell_angle_beta 90.00
_cell_angle_gamma 90.00
loop_
_atom_site_label
_atom_site_type_symbol
_atom_site_fract_x
_atom_site_fract_y
_atom_site_fract_z
Cu1 Cu 0.0000 0.0000 0.0000
As1 As 0.0000 0.5000 0.5000
Rh1 Rh 0.5000 0.5000 0.5000



No. 7
# Cu2As2Rh | Alexandria | PBE | relaxed
# Size of the total moment: 0.0 μB/cell
# Volume: 155.14 Å³ per cell
# Excess energy over the best structure of this formula in the dataset: 0 meV per atom
# Fermi-level density of states: 3.76 states/eV/cell
data_Cu2As2Rh
_chemical_formula_sum 'Cu4 As4 Rh2'
_symmetry_space_group_name_H-M 'P 4/m b m'
_symmetry_Int_Tables_number 127
_symmetry_space_group_name_Hall '-P 4 2ab'
_cell_length_a 6.3195
_cell_length_b 6.3195
_cell_length_c 3.8847
_cell_angle_alpha 90.00
_cell_angle_beta 90.00
_cell_angle_gamma 90.00
loop_
_atom_site_label
_atom_site_type_symbol
_atom_site_fract_x
_atom_site_fract_y
_atom_site_fract_z
Cu1 Cu 0.1591 0.3409 0.0000
As1 As 0.1420 0.6420 0.5000
Rh1 Rh 0.0000 0.0000 0.5000



No. 8
# CuAs4Rh | Alexandria | PBE | relaxed
# Size of the total moment: 0.0 μB/cell
# Final energy: -104.0 eV for the cell shown
# Volume: 442.96 Å³ per cell
# Fermi-level density of states: 25.59 states/eV/cell
data_CuAs4Rh
_chemical_formula_sum 'Cu4 As16 Rh4'
_symmetry_space_group_name_H-M 'F -4 3 m'
_symmetry_Int_Tables_number 216
_symmetry_space_group_name_Hall 'F -4 2 3'
_cell_length_a 7.6229
_cell_length_b 7.6229
_cell_length_c 7.6229
_cell_angle_alpha 90.00
_cell_angle_beta 90.00
_cell_angle_gamma 90.00
loop_
_atom_site_label
_atom_site_type_symbol
_atom_site_fract_x
_atom_site_fract_y
_atom_site_fract_z
Cu1 Cu 0.0000 0.0000 0.0000
As1 As 0.1269 0.1269 0.3731
Rh1 Rh 0.2500 0.2500 0.7500



No. 9
# CuAs2Rh | Alexandria | PBE | relaxed
# Size of the total moment: 0.0 μB/cell
# Volume: 123.22 Å³ per cell
# Excess energy over the best structure of this formula in the dataset: 149 meV per atom
# Fermi-level density of states: 4.67 states/eV/cell
data_CuAs2Rh
_chemical_formula_sum 'Cu2 As4 Rh2'
_symmetry_space_group_name_H-M 'C 1 2/m 1'
_symmetry_Int_Tables_number 12
_symmetry_space_group_name_Hall '-C 2y'
_cell_length_a 6.2257
_cell_length_b 6.0638
_cell_length_c 3.2640
_cell_angle_alpha 90.00
_cell_angle_beta 90.16
_cell_angle_gamma 90.00
loop_
_atom_site_label
_atom_site_type_symbol
_atom_site_fract_x
_atom_site_fract_y
_atom_site_fract_z
Cu1 Cu 0.0000 0.0000 0.0000
As1 As 0.2500 0.2500 0.5000
Rh1 Rh 0.0000 0.5000 0.0000



No. 10
# Cu3AsRh | Alexandria | PBE | relaxed
# Size of the total moment: 0.0 μB/cell
# Volume: 84.91 Å³ per cell
# Excess energy over the best structure of this formula in the dataset: 0 meV per atom
# Fermi-level density of states: 4.58 states/eV/cell
data_Cu3AsRh
_chemical_formula_sum 'Cu3 As1 Rh1'
_symmetry_space_group_name_H-M 'P m -3 m'
_symmetry_Int_Tables_number 221
_symmetry_space_group_name_Hall '-P 4 2 3'
_cell_length_a 4.3953
_cell_length_b 4.3953
_cell_length_c 4.3953
_cell_angle_alpha 90.00
_cell_angle_beta 90.00
_cell_angle_gamma 90.00
loop_
_atom_site_label
_atom_site_type_symbol
_atom_site_fract_x
_atom_site_fract_y
_atom_site_fract_z
Cu1 Cu 0.0000 0.0000 0.5000
As1 As 0.0000 0.0000 0.0000
Rh1 Rh 0.5000 0.5000 0.5000



No. 11
# CuAs2Rh2 | Alexandria | PBE | relaxed
# Size of the total moment: 0.0 μB/cell
# Volume: 173.11 Å³ per cell
# Excess energy over the best structure of this formula in the dataset: 201 meV per atom
# Fermi-level density of states: 3.51 states/eV/cell
data_CuAs2Rh2
_chemical_formula_sum 'Cu2 As4 Rh4'
_symmetry_space_group_name_H-M 'I 4/m m m'
_symmetry_Int_Tables_number 139
_symmetry_space_group_name_Hall '-I 4 2'
_cell_length_a 3.9064
_cell_length_b 3.9064
_cell_length_c 11.3441
_cell_angle_alpha 90.00
_cell_angle_beta 90.00
_cell_angle_gamma 90.00
loop_
_atom_site_label
_atom_site_type_symbol
_atom_site_fract_x
_atom_site_fract_y
_atom_site_fract_z
Cu1 Cu 0.0000 0.0000 0.0000
As1 As 0.0000 0.5000 0.2500
Rh1 Rh 0.0000 0.0000 0.3834



No. 12
# CuAs2Rh | Alexandria | PBE | relaxed
# Size of the total moment: 0.0 μB/cell
# Volume: 122.38 Å³ per cell
# Excess energy over the best structure of this formula in the dataset: 181 meV per atom
# Fermi-level density of states: 3.99 states/eV/cell
data_CuAs2Rh
_chemical_formula_sum 'Cu2 As4 Rh2'
_symmetry_space_group_name_H-M 'I -4 m 2'
_symmetry_Int_Tables_number 119
_symmetry_space_group_name_Hall 'I -4 -2'
_cell_length_a 3.8056
_cell_length_b 3.8056
_cell_length_c 8.4504
_cell_angle_alpha 90.00
_cell_angle_beta 90.00
_cell_angle_gamma 90.00
loop_
_atom_site_label
_atom_site_type_symbol
_atom_site_fract_x
_atom_site_fract_y
_atom_site_fract_z
Cu1 Cu 0.0000 0.0000 0.0000
As1 As 0.0000 0.0000 0.5000
As2 As 0.0000 0.5000 0.2500
Rh1 Rh 0.0000 0.5000 0.7500